DFT (GGA-PBE) results for PrNd5Ho2Er after structural relaxation.

abc: 10.603 10.603 10.803
angles: 90.00 90.00 148.99
Sites, in units of the cell vectors:
Pr 0.202 0.798 0.500
Pr 0.798 0.202 0.000
Nd 0.016 0.984 0.513
Nd 0.281 0.719 0.799
Nd 0.297 0.703 0.194
Nd 0.391 0.609 0.516
Nd 0.480 0.520 0.234
Nd 0.520 0.480 0.734
Nd 0.609 0.391 0.016
Nd 0.703 0.297 0.694
Nd 0.719 0.281 0.299
Nd 0.984 0.016 0.013
Ho 0.110 0.890 0.230
Ho 0.116 0.884 0.807
Ho 0.884 0.116 0.307
Ho 0.890 0.110 0.730
Er 0.410 0.590 0.950
Er 0.590 0.410 0.450

Computed properties:
**Space-group type**: Cmc2_1
**E_form**: 13.89 kJ/mol of atoms
**Calculated volume**: 34.76 Å³/atom
**Total magnetization**: 0.00 μB per atom
**Crystal system**: orthorhombic

***

DFT (GGA-PBE) results for PrNd2Ho5Er after structural relaxation.

abc: 9.894 9.894 9.894
angles: 127.56 127.56 77.33
Sites, in units of the cell vectors:
Pr 0.250 0.250 0.000
Pr 0.750 0.750 0.000
Nd 0.117 0.617 0.733
Nd 0.383 0.117 0.500
Nd 0.617 0.883 0.500
Nd 0.883 0.383 0.267
Ho 0.000 0.000 0.000
Ho 0.073 0.152 0.500
Ho 0.152 0.652 0.080
Ho 0.348 0.427 0.500
Ho 0.427 0.927 0.080
Ho 0.500 0.500 0.000
Ho 0.573 0.073 0.920
Ho 0.652 0.573 0.500
Ho 0.848 0.348 0.920
Ho 0.927 0.848 0.500
Er 0.250 0.750 0.500
Er 0.750 0.250 0.500

Computed properties:
**Space-group type**: I4/mcm
**E_form**: 25.66 kJ/mol of atoms
**Calculated volume**: 32.80 Å³/atom
**Total magnetization**: 0.00 μB per atom
**Crystal system**: tetragonal

***

DFT (GGA-PBE) results for Pr2NdHo5Er after structural relaxation.

abc: 9.938 9.938 9.938
angles: 128.01 128.01 76.61
Sites, in units of the cell vectors:
Pr 0.118 0.618 0.735
Pr 0.382 0.118 0.500
Pr 0.618 0.882 0.500
Pr 0.882 0.382 0.265
Nd 0.250 0.250 0.000
Nd 0.750 0.750 0.000
Ho 0.000 0.000 0.000
Ho 0.072 0.149 0.500
Ho 0.149 0.649 0.077
Ho 0.351 0.428 0.500
Ho 0.428 0.928 0.077
Ho 0.500 0.500 0.000
Ho 0.572 0.072 0.923
Ho 0.649 0.572 0.500
Ho 0.851 0.351 0.923
Ho 0.928 0.851 0.500
Er 0.250 0.750 0.500
Er 0.750 0.250 0.500

Computed properties:
**Space-group type**: I4/mcm
**E_form**: 25.73 kJ/mol of atoms
**Calculated volume**: 32.88 Å³/atom
**Total magnetization**: 0.00 μB per atom
**Crystal system**: tetragonal

***

DFT (GGA-PBE) results for Pr4Nd2HoEr after structural relaxation.

abc: 5.172 5.205 10.261
angles: 90.00 90.09 90.00
Sites, in units of the cell vectors:
Pr 0.000 0.000 0.249
Pr 0.000 0.000 0.751
Pr 0.500 0.500 0.250
Pr 0.500 0.500 0.750
Nd 0.000 0.500 0.000
Nd 0.500 0.000 0.500
Ho 0.000 0.500 0.500
Er 0.500 0.000 0.000

Computed properties:
**Space-group type**: P2/m
**E_form**: 1.39 kJ/mol of atoms
**Calculated volume**: 34.52 Å³/atom
**Total magnetization**: 0.00 μB per atom
**Crystal system**: monoclinic

***

DFT (GGA-PBE) results for Pr2NdHo4Er after structural relaxation.

abc: 9.541 9.541 9.541
angles: 138.15 102.91 91.82
Sites, in units of the cell vectors:
Pr 0.000 0.000 0.000
Pr 0.500 0.000 0.000
Pr 0.500 0.000 0.500
Pr 0.500 0.500 0.500
Nd 0.000 0.500 0.500
Nd 0.500 0.500 0.000
Ho 0.244 0.244 0.500
Ho 0.244 0.250 0.994
Ho 0.244 0.744 0.000
Ho 0.244 0.750 0.494
Ho 0.756 0.250 0.506
Ho 0.756 0.256 0.000
Ho 0.756 0.750 0.006
Ho 0.756 0.756 0.500
Er 0.000 0.000 0.500
Er 0.000 0.500 0.000

Computed properties:
**Space-group type**: Imma
**E_form**: 39.53 kJ/mol of atoms
**Calculated volume**: 33.62 Å³/atom
**Total magnetization**: 0.02 μB per atom
**Crystal system**: orthorhombic

***

DFT (GGA-PBE) results for Pr2NdHo6Er3 after structural relaxation.

abc: 6.179 6.179 11.784
angles: 95.00 95.00 119.96
Sites, in units of the cell vectors:
Pr 0.167 0.833 0.000
Pr 0.833 0.167 0.000
Nd 0.500 0.500 0.000
Ho 0.081 0.414 0.745
Ho 0.253 0.253 0.255
Ho 0.414 0.081 0.745
Ho 0.586 0.919 0.255
Ho 0.747 0.747 0.745
Ho 0.919 0.586 0.255
Er 0.000 0.000 0.500
Er 0.333 0.667 0.500
Er 0.667 0.333 0.500

Computed properties:
**Space-group type**: C2/m
**E_form**: 2.15 kJ/mol of atoms
**Calculated volume**: 31.99 Å³/atom
**Total magnetization**: 0.00 μB per atom
**Crystal system**: monoclinic

***

DFT (GGA-PBE) results for Pr5Nd2HoEr after structural relaxation.

abc: 10.491 10.491 10.491
angles: 131.37 131.37 71.22
Sites, in units of the cell vectors:
Pr 0.000 0.000 0.000
Pr 0.075 0.575 0.939
Pr 0.136 0.075 0.500
Pr 0.364 0.864 0.939
Pr 0.425 0.364 0.500
Pr 0.500 0.500 0.000
Pr 0.575 0.636 0.500
Pr 0.636 0.136 0.061
Pr 0.864 0.925 0.500
Pr 0.925 0.425 0.061
Nd 0.123 0.377 0.500
Nd 0.377 0.877 0.255
Nd 0.623 0.123 0.745
Nd 0.877 0.623 0.500
Ho 0.250 0.250 0.000
Ho 0.750 0.750 0.000
Er 0.250 0.750 0.500
Er 0.750 0.250 0.500

Computed properties:
**Space-group type**: I4/mcm
**E_form**: 26.43 kJ/mol of atoms
**Calculated volume**: 35.36 Å³/atom
**Total magnetization**: 0.00 μB per atom
**Crystal system**: tetragonal

***

DFT (GGA-PBE) results for Pr2Nd4HoEr after structural relaxation.

abc: 5.156 5.180 10.277
angles: 90.00 90.11 90.00
Sites, in units of the cell vectors:
Pr 0.000 0.000 0.000
Pr 0.500 0.500 0.500
Nd 0.000 0.500 0.249
Nd 0.000 0.500 0.751
Nd 0.500 0.000 0.250
Nd 0.500 0.000 0.750
Ho 0.000 0.000 0.500
Er 0.500 0.500 0.000

Computed properties:
**Space-group type**: P2/m
**E_form**: 1.49 kJ/mol of atoms
**Calculated volume**: 34.31 Å³/atom
**Total magnetization**: 0.00 μB per atom
**Crystal system**: monoclinic

***

DFT (GGA-PBE) results for PrNdHo2Er4 after structural relaxation.

abc: 9.492 9.492 6.792
angles: 110.96 110.96 88.45
Sites, in units of the cell vectors:
Pr 0.000 0.000 0.000
Pr 0.000 0.000 0.500
Nd 0.000 0.500 0.000
Nd 0.500 0.000 0.500
Ho 0.000 0.500 0.500
Ho 0.500 0.000 0.000
Ho 0.500 0.500 0.000
Ho 0.500 0.500 0.500
Er 0.253 0.256 0.503
Er 0.254 0.746 0.501
Er 0.254 0.746 0.999
Er 0.256 0.253 0.003
Er 0.744 0.747 0.997
Er 0.746 0.254 0.001
Er 0.746 0.254 0.499
Er 0.747 0.744 0.497

Computed properties:
**Space-group type**: C2/c
**E_form**: 41.44 kJ/mol of atoms
**Calculated volume**: 33.12 Å³/atom
**Total magnetization**: 0.29 μB per atom
**Crystal system**: monoclinic

***

DFT (GGA-PBE) results for PrNd6Ho2Er after structural relaxation.

abc: 8.965 8.965 9.684
angles: 93.60 93.60 117.24
Sites, in units of the cell vectors:
Pr 0.028 0.972 0.750
Pr 0.972 0.028 0.250
Nd 0.008 0.562 0.686
Nd 0.116 0.759 0.055
Nd 0.241 0.884 0.445
Nd 0.294 0.513 0.883
Nd 0.438 0.992 0.814
Nd 0.487 0.706 0.617
Nd 0.513 0.294 0.383
Nd 0.562 0.008 0.186
Nd 0.706 0.487 0.117
Nd 0.759 0.116 0.555
Nd 0.884 0.241 0.945
Nd 0.992 0.438 0.314
Ho 0.203 0.301 0.548
Ho 0.301 0.203 0.048
Ho 0.699 0.797 0.952
Ho 0.797 0.699 0.452
Er 0.411 0.589 0.250
Er 0.589 0.411 0.750

Computed properties:
**Space-group type**: C2/c
**E_form**: 10.98 kJ/mol of atoms
**Calculated volume**: 34.35 Å³/atom
**Total magnetization**: 0.00 μB per atom
**Crystal system**: monoclinic

***

DFT (GGA-PBE) results for PrNd4HoEr2 after structural relaxation.

abc: 6.266 3.636 11.951
angles: 90.00 100.17 90.00
Sites, in units of the cell vectors:
Pr 0.000 0.000 0.000
Nd 0.251 0.000 0.749
Nd 0.251 0.500 0.254
Nd 0.749 0.000 0.251
Nd 0.749 0.500 0.746
Ho 0.000 0.500 0.500
Er 0.500 0.000 0.500
Er 0.500 0.500 0.000

Computed properties:
**Space-group type**: P2/m
**E_form**: 1.67 kJ/mol of atoms
**Calculated volume**: 33.50 Å³/atom
**Total magnetization**: 0.00 μB per atom
**Crystal system**: monoclinic

***

DFT (GGA-PBE) results for PrNdHoEr2 after structural relaxation.

abc: 8.945 8.945 6.421
angles: 90.00 90.00 137.88
Sites, in units of the cell vectors:
Pr 0.158 0.842 0.750
Pr 0.842 0.158 0.250
Nd 0.343 0.657 0.750
Nd 0.657 0.343 0.250
Ho 0.232 0.768 0.250
Ho 0.768 0.232 0.750
Er 0.247 0.247 0.000
Er 0.247 0.247 0.500
Er 0.753 0.753 0.000
Er 0.753 0.753 0.500

Computed properties:
**Space-group type**: Cmcm
**E_form**: 33.32 kJ/mol of atoms
**Calculated volume**: 34.46 Å³/atom
**Total magnetization**: 0.00 μB per atom
**Crystal system**: orthorhombic

***

Question: Number 5 is which compound?
Answer: Pr2NdHo4Er

***

Question: Which value of E_form does entry 10 give?
Answer: 10.98 kJ/mol of atoms